Entry 1:
A crystal of Li2SiTcCl relaxed with PBEsol, computed with SCAN.

Output
Electronic total energy ... -11.075 eV/atom
Density ... 2.45 g/cm³
Magnetization ... 1.87 μB/cell

The structure in CIF format:
```
data_Li2SiTcCl
_chemical_formula_sum 'Li2 Si1 Tc1 Cl1'
_cell_length_a 5.1751
_cell_length_b 5.1751
_cell_length_c 4.4312
_cell_angle_alpha 90.00
_cell_angle_beta 90.00
_cell_angle_gamma 90.00
_symmetry_space_group_name_H-M 'P 4/m m m'
_symmetry_Int_Tables_number 123
_symmetry_space_group_name_Hall '-P 4 2'
loop_
_atom_site_label
_atom_site_type_symbol
_atom_site_fract_x
_atom_site_fract_y
_atom_site_fract_z
_atom_site_occupancy
Li1 Li 0.0000 0.5000 0.0000 1
Si1 Si 0.0000 0.0000 0.5000 1
Tc1 Tc 0.0000 0.0000 0.0000 1
Cl1 Cl 0.5000 0.5000 0.5000 1
```

=====

Entry 2:
A crystal of BaAs2SBr relaxed with PBEsol, computed with SCAN.

Output
Electronic total energy ... -22.290 eV/atom
Density ... 4.59 g/cm³
Magnetization ... 0.00 μB/cell

The structure in CIF format:
```
data_BaAs2SBr
_chemical_formula_sum 'Ba1 As2 S1 Br1'
_cell_length_a 4.7070
_cell_length_b 4.7070
_cell_length_c 6.5183
_cell_angle_alpha 90.00
_cell_angle_beta 90.00
_cell_angle_gamma 90.00
_symmetry_space_group_name_H-M 'P 4/m m m'
_symmetry_Int_Tables_number 123
_symmetry_space_group_name_Hall '-P 4 2'
loop_
_atom_site_label
_atom_site_type_symbol
_atom_site_fract_x
_atom_site_fract_y
_atom_site_fract_z
_atom_site_occupancy
Ba1 Ba 0.0000 0.0000 0.0000 1
As1 As 0.0000 0.5000 0.5000 1
S1 S 0.5000 0.5000 0.5000 1
Br1 Br 0.5000 0.5000 0.0000 1
```

=====

Entry 3:
A crystal of CdRe2W relaxed with PBEsol, computed with SCAN.

Output
DFT formation energy ... 0.630 eV/atom
Density ... 17.77 g/cm³
Magnetization ... 0.00 μB/cell

The structure in CIF format:
```
data_CdRe2W
_chemical_formula_sum 'Cd2 Re4 W2'
_cell_length_a 3.9261
_cell_length_b 3.9261
_cell_length_c 8.1058
_cell_angle_alpha 90.00
_cell_angle_beta 90.00
_cell_angle_gamma 90.00
_symmetry_space_group_name_H-M 'I -4 m 2'
_symmetry_Int_Tables_number 119
_symmetry_space_group_name_Hall 'I -4 -2'
loop_
_atom_site_label
_atom_site_type_symbol
_atom_site_fract_x
_atom_site_fract_y
_atom_site_fract_z
_atom_site_occupancy
Cd1 Cd 0.0000 0.0000 0.0000 1
Re1 Re 0.0000 0.0000 0.5000 1
Re2 Re 0.0000 0.5000 0.2500 1
W1 W 0.0000 0.5000 0.7500 1
```

=====

Entry 4:
A crystal of MnAlTl2Co relaxed with PBEsol, computed with SCAN.

Output
DFT formation energy ... 0.555 eV/atom
Density ... 8.25 g/cm³
Magnetization ... 5.36 μB/cell

The structure in CIF format:
```
data_MnAlTl2Co
_chemical_formula_sum 'Mn1 Al1 Tl2 Co1'
_cell_length_a 4.9263
_cell_length_b 4.9263
_cell_length_c 4.5607
_cell_angle_alpha 90.00
_cell_angle_beta 90.00
_cell_angle_gamma 90.00
_symmetry_space_group_name_H-M 'P 4/m m m'
_symmetry_Int_Tables_number 123
_symmetry_space_group_name_Hall '-P 4 2'
loop_
_atom_site_label
_atom_site_type_symbol
_atom_site_fract_x
_atom_site_fract_y
_atom_site_fract_z
_atom_site_occupancy
Mn1 Mn 0.0000 0.0000 0.0000 1
Al1 Al 0.5000 0.5000 0.0000 1
Tl1 Tl 0.0000 0.5000 0.5000 1
Co1 Co 0.0000 0.0000 0.5000 1
```

=====

Entry 5:
A crystal of LiTlMo2 relaxed with PBEsol, computed with SCAN.

Output
DFT formation energy ... 0.513 eV/atom
Offset from the most stable computed form ... 0.0000 eV/atom
Density ... 10.18 g/cm³
Magnetization ... 0.00 μB/cell

The structure in CIF format:
```
data_LiTlMo2
_chemical_formula_sum 'Li2 Tl2 Mo4'
_cell_length_a 5.1805
_cell_length_b 9.6065
_cell_length_c 2.7811
_cell_angle_alpha 90.00
_cell_angle_beta 108.14
_cell_angle_gamma 90.00
_symmetry_space_group_name_H-M 'C 1 2/m 1'
_symmetry_Int_Tables_number 12
loop_
_symmetry_equiv_pos_as_xyz
'x,y,z'
'-x,-y,-z'
'-x,y,-z'
'x,-y,z'
'x+1/2,y+1/2,z'
'-x+1/2,-y+1/2,-z'
'-x+1/2,y+1/2,-z'
'x+1/2,-y+1/2,z'
loop_
_atom_site_label
_atom_site_type_symbol
_atom_site_fract_x
_atom_site_fract_y
_atom_site_fract_z
_atom_site_occupancy
Li1 Li 0.0000 0.0000 0.0000 1
Tl1 Tl 0.0000 0.5000 0.0000 1
Mo1 Mo 0.2500 0.2500 0.5000 1
```

=====

Entry 6:
A crystal of LiMgVO4 relaxed with PBEsol, computed with SCAN.

Output
Electronic total energy ... -9.874 eV/atom
Density ... 3.25 g/cm³
Magnetization ... 0.00 μB/cell

The structure in CIF format:
```
data_LiMgVO4
_chemical_formula_sum 'Li4 Mg4 V4 O16'
_cell_length_a 5.6090
_cell_length_b 8.5686
_cell_length_c 6.2215
_cell_angle_alpha 90.00
_cell_angle_beta 90.00
_cell_angle_gamma 90.00
_symmetry_space_group_name_H-M 'C m c m'
_symmetry_Int_Tables_number 63
_symmetry_space_group_name_Hall '-C 2c 2'
loop_
_atom_site_label
_atom_site_type_symbol
_atom_site_fract_x
_atom_site_fract_y
_atom_site_fract_z
_atom_site_occupancy
Li1 Li 0.0000 0.1621 0.2500 1
Mg1 Mg 0.0000 0.5000 0.0000 1
V1 V 0.0000 0.1453 0.7500 1
O1 O 0.0000 0.2589 0.5292 1
O2 O 0.2453 0.0193 0.7500 1
```

=====

Repeat the fifth record exactly.
A crystal of LiTlMo2 relaxed with PBEsol, computed with SCAN.

Output
DFT formation energy ... 0.513 eV/atom
Offset from the most stable computed form ... 0.0000 eV/atom
Density ... 10.18 g/cm³
Magnetization ... 0.00 μB/cell

The structure in CIF format:
```
data_LiTlMo2
_chemical_formula_sum 'Li2 Tl2 Mo4'
_cell_length_a 5.1805
_cell_length_b 9.6065
_cell_length_c 2.7811
_cell_angle_alpha 90.00
_cell_angle_beta 108.14
_cell_angle_gamma 90.00
_symmetry_space_group_name_H-M 'C 1 2/m 1'
_symmetry_Int_Tables_number 12
loop_
_symmetry_equiv_pos_as_xyz
'x,y,z'
'-x,-y,-z'
'-x,y,-z'
'x,-y,z'
'x+1/2,y+1/2,z'
'-x+1/2,-y+1/2,-z'
'-x+1/2,y+1/2,-z'
'x+1/2,-y+1/2,z'
loop_
_atom_site_label
_atom_site_type_symbol
_atom_site_fract_x
_atom_site_fract_y
_atom_site_fract_z
_atom_site_occupancy
Li1 Li 0.0000 0.0000 0.0000 1
Tl1 Tl 0.0000 0.5000 0.0000 1
Mo1 Mo 0.2500 0.2500 0.5000 1
```

=====

Q: density of number 5 (LiTlMo2)?
A: 10.18 g/cm³

=====

What did the sixth record say?
A crystal of LiMgVO4 relaxed with PBEsol, computed with SCAN.

Output
Electronic total energy ... -9.874 eV/atom
Density ... 3.25 g/cm³
Magnetization ... 0.00 μB/cell

The structure in CIF format:
```
data_LiMgVO4
_chemical_formula_sum 'Li4 Mg4 V4 O16'
_cell_length_a 5.6090
_cell_length_b 8.5686
_cell_length_c 6.2215
_cell_angle_alpha 90.00
_cell_angle_beta 90.00
_cell_angle_gamma 90.00
_symmetry_space_group_name_H-M 'C m c m'
_symmetry_Int_Tables_number 63
_symmetry_space_group_name_Hall '-C 2c 2'
loop_
_atom_site_label
_atom_site_type_symbol
_atom_site_fract_x
_atom_site_fract_y
_atom_site_fract_z
_atom_site_occupancy
Li1 Li 0.0000 0.1621 0.2500 1
Mg1 Mg 0.0000 0.5000 0.0000 1
V1 V 0.0000 0.1453 0.7500 1
O1 O 0.0000 0.2589 0.5292 1
O2 O 0.2453 0.0193 0.7500 1
```